Material: CdHg2Cl
Method: DFT, GGA-PBE
State: optimized geometry

Output
**ρ**: 8.44 g/cm3
**Excess energy over the best structure of this formula in the dataset**: 60 meV per atom
**Fermi-level density of states**: 2.08 states/eV/cell
**Formation energy without anion corrections**: -0.24 eV per atom
**Electronic total energy**: -17.30 eV per cell

abc: 8.459 8.459 6.039
angles: 90.00 90.00 90.00
Space group I-42d (No. 122)
Inequivalent atoms, fractional coordinates:
Cd: 0.000 0.000 0.000 x4
Hg: 0.226 0.250 0.125 x8
Cl: 0.000 0.000 0.500 x4

***

Material: CdHgCl2
Method: DFT, GGA-PBE
State: optimized geometry

Output
**ρ**: 4.37 g/cm3
**Excess energy over the best structure of this formula in the dataset**: 82 meV per atom
**Fermi-level density of states**: 0.00 states/eV/cell
**Formation energy without anion corrections**: -0.71 eV per atom
**Electronic total energy**: -31.03 eV per cell

abc: 7.893 7.893 9.361
angles: 90.00 90.00 90.00
Space group I-42d (No. 122)
Inequivalent atoms, fractional coordinates:
Cd: 0.000 0.000 0.000 x4
Hg: 0.000 0.000 0.500 x4
Cl: 0.132 0.250 0.125 x8

***

Material: CdHgCl2
Method: DFT, GGA-PBE
State: optimized geometry

Output
**ρ**: 5.82 g/cm3
**Excess energy over the best structure of this formula in the dataset**: 237 meV per atom
**Formation energy without anion corrections**: -0.56 eV per atom
**Electronic total energy**: -14.27 eV per cell

abc: 3.588 6.485 9.418
angles: 90.00 90.00 90.00
Space group Imm2 (No. 44)
Inequivalent atoms, fractional coordinates:
Cd: 0.000 0.000 0.000 x2
Hg: 0.000 0.500 0.263 x2
Cl: 0.000 0.000 0.543 x2
Cl: 0.000 0.500 0.696 x2

***

Material: Cd2HgCl6
Method: DFT, GGA-PBE
State: optimized geometry

Output
**ρ**: 3.54 g/cm3
**Excess energy over the best structure of this formula in the dataset**: 32 meV per atom
**Fermi-level density of states**: 0.00 states/eV/cell
**Formation energy without anion corrections**: -0.88 eV per atom
**Electronic total energy**: -84.48 eV per cell

abc: 14.394 13.537 6.779
angles: 90.00 115.08 90.00
Space group C2/c (No. 15)
Inequivalent atoms, fractional coordinates:
Cd: 0.201 0.083 0.064 x8
Hg: 0.000 0.306 0.750 x4
Cl: 0.121 0.416 0.644 x8
Cl: 0.123 0.245 0.115 x8
Cl: 0.132 0.074 0.660 x8

***

Material: CdHgCl2
Method: DFT, GGA-PBE
State: optimized geometry

Output
**ρ**: 6.62 g/cm3
**Excess energy over the best structure of this formula in the dataset**: 568 meV per atom
**Fermi-level density of states**: 6.87 states/eV/cell
**Formation energy without anion corrections**: -0.23 eV per atom
**Electronic total energy**: -11.63 eV per cell

abc: 7.180 7.191 3.730
angles: 90.00 90.00 90.00
Space group Cmmm (No. 65)
Inequivalent atoms, fractional coordinates:
Cd: 0.000 0.000 0.000 x2
Hg: 0.000 0.500 0.000 x2
Cl: 0.250 0.250 0.500 x4

***

Material: CdHg2Cl
Method: DFT, GGA-PBE
State: optimized geometry

Output
**ρ**: 8.65 g/cm3
**Excess energy over the best structure of this formula in the dataset**: 123 meV per atom
**Fermi-level density of states**: 1.39 states/eV/cell
**Formation energy without anion corrections**: -0.18 eV per atom
**Electronic total energy**: -4.07 eV per cell

abc: 3.784 4.723 5.895
angles: 90.00 90.00 90.00
Space group Pmmm (No. 47)
Inequivalent atoms, fractional coordinates:
Cd: 0.000 0.000 0.000 x1
Hg: 0.000 0.500 0.500 x1
Hg: 0.500 0.000 0.500 x1
Cl: 0.500 0.500 0.000 x1

***

Material: CdHgCl
Method: DFT, GGA-PBE
State: optimized geometry

Output
**ρ**: 7.27 g/cm3
**Excess energy over the best structure of this formula in the dataset**: 110 meV per atom
**Fermi-level density of states**: 3.51 states/eV/cell
**Formation energy without anion corrections**: -0.31 eV per atom
**Electronic total energy**: -15.92 eV per cell

abc: 4.285 5.931 12.532
angles: 90.00 90.00 90.00
Space group Fmm2 (No. 42)
Inequivalent atoms, fractional coordinates:
Cd: 0.000 0.000 0.000 x4
Hg: 0.000 0.000 0.658 x4
Cl: 0.000 0.000 0.365 x4

***

Material: CdHgCl2
Method: DFT, GGA-PBE
State: optimized geometry

Output
**ρ**: 4.56 g/cm3
**Excess energy over the best structure of this formula in the dataset**: 119 meV per atom
**Formation energy without anion corrections**: -0.67 eV per atom
**Electronic total energy**: -7.61 eV per cell

abc: 4.254 3.664 9.145
angles: 90.00 101.14 90.00
Space group P2/m (No. 10)
Inequivalent atoms, fractional coordinates:
Cd: 0.000 0.000 0.000 x1
Hg: 0.500 0.000 0.500 x1
Cl: 0.165 0.500 0.836 x2

***

Material: Cd2HgCl
Method: DFT, GGA-PBE
State: optimized geometry

Output
**ρ**: 7.32 g/cm3
**Excess energy over the best structure of this formula in the dataset**: 80 meV per atom
**Fermi-level density of states**: 3.10 states/eV/cell
**Formation energy without anion corrections**: -0.20 eV per atom
**Electronic total energy**: -9.59 eV per cell

abc: 3.895 6.079 8.828
angles: 90.00 90.00 90.00
Space group Immm (No. 71)
Inequivalent atoms, fractional coordinates:
Cd: 0.000 0.000 0.245 x4
Hg: 0.000 0.500 0.000 x2
Cl: 0.000 0.500 0.500 x2

***

Material: Cd3Hg12Cl5
Method: DFT, GGA-PBE
State: optimized geometry

Output
**ρ**: 7.32 g/cm3
**Fermi-level density of states**: 70.56 states/eV/cell
**Formation energy without anion corrections**: -0.14 eV per atom
**Electronic total energy**: -147.48 eV per cell

abc: 17.435 17.435 17.435
angles: 90.00 90.00 90.00
Space group Ia-3d (No. 230)
Inequivalent atoms, fractional coordinates:
Cd: 0.000 0.250 0.125 x24
Hg: 0.021 0.089 0.651 x96
Cl: 0.000 0.000 0.000 x16
Cl: 0.000 0.250 0.375 x24